Th3Mn5O12 | PBE+U | optimized geometry Values from VASP.

Cell and atoms, written as Quantum ESPRESSO input:
```
&SYSTEM
  ibrav = 0, nat = 80, ntyp = 3
/
ATOMIC_SPECIES
Mn 54.94 Mn.upf
O 16.00 O.upf
Th 232.04 Th.upf
CELL_PARAMETERS angstrom
11.231 0.000 0.000
-3.744 10.588 0.000
-3.744 -5.294 9.170
ATOMIC_POSITIONS crystal
Mn 0.250 0.375 0.625
Mn 0.875 0.250 0.625
Mn 0.375 0.250 0.125
Mn 0.625 0.750 0.875
Mn 0.875 0.625 0.750
Mn 0.000 0.500 0.000
Mn 0.500 0.000 0.500
Mn 0.500 0.500 0.000
Mn 0.000 0.000 0.000
Mn 0.750 0.625 0.375
Mn 0.000 0.000 0.500
Mn 0.500 0.500 0.500
Mn 0.125 0.750 0.375
Mn 0.500 0.000 0.000
Mn 0.250 0.875 0.125
Mn 0.000 0.500 0.500
Mn 0.375 0.125 0.750
Mn 0.625 0.875 0.250
Mn 0.125 0.375 0.250
Mn 0.750 0.125 0.875
O 0.461 0.673 0.091
O 0.539 0.212 0.130
O 0.827 0.909 0.039
O 0.173 0.082 0.712
O 0.827 0.918 0.288
O 0.582 0.712 0.673
O 0.130 0.418 0.091
O 0.673 0.212 0.582
O 0.327 0.788 0.418
O 0.788 0.461 0.370
O 0.712 0.130 0.039
O 0.418 0.288 0.327
O 0.582 0.870 0.409
O 0.327 0.539 0.409
O 0.091 0.173 0.461
O 0.418 0.130 0.591
O 0.961 0.370 0.288
O 0.039 0.630 0.712
O 0.130 0.712 0.539
O 0.082 0.173 0.212
O 0.212 0.673 0.082
O 0.288 0.418 0.827
O 0.288 0.870 0.961
O 0.909 0.082 0.870
O 0.591 0.630 0.418
O 0.091 0.918 0.130
O 0.909 0.827 0.539
O 0.539 0.327 0.909
O 0.870 0.288 0.461
O 0.370 0.409 0.082
O 0.918 0.091 0.630
O 0.788 0.327 0.918
O 0.409 0.370 0.582
O 0.961 0.591 0.173
O 0.173 0.091 0.961
O 0.461 0.788 0.870
O 0.870 0.582 0.909
O 0.212 0.539 0.630
O 0.673 0.461 0.591
O 0.630 0.039 0.212
O 0.370 0.961 0.788
O 0.409 0.039 0.327
O 0.039 0.409 0.827
O 0.082 0.909 0.370
O 0.591 0.961 0.673
O 0.712 0.582 0.173
O 0.918 0.827 0.788
O 0.630 0.591 0.918
Th 0.250 0.625 0.875
Th 0.750 0.375 0.125
Th 0.125 0.875 0.750
Th 0.875 0.750 0.125
Th 0.250 0.125 0.375
Th 0.375 0.625 0.250
Th 0.125 0.250 0.875
Th 0.375 0.750 0.625
Th 0.875 0.125 0.250
Th 0.750 0.875 0.625
Th 0.625 0.375 0.750
Th 0.625 0.250 0.375
```

Space-group type: Ia-3d, No. 230
Theoretical density: 7.08 Mg/m³
Final energy: -169.81 eV per formula unit